[1]
# AlGaCl4 | Alexandria | GGA-PBEsol | optimized geometry
# **Raw formation energy**: -1.2380 eV per atom
data_AlGaCl4
_chemical_formula_sum 'Al4 Ga4 Cl16'
_cell_length_a 7.277
_cell_length_b 10.237
_cell_length_c 11.706
_cell_angle_alpha 90.00
_cell_angle_beta 125.00
_cell_angle_gamma 90.00
_space_group_name_H-M_alt 'P 1 21/c 1'
_space_group_IT_number 14
loop_
_space_group_symop_operation_xyz
'x,y,z'
'-x,-y,-z'
'-x,y+1/2,-z+1/2'
'x,-y+1/2,z+1/2'
loop_
_atom_site_label
_atom_site_type_symbol
_atom_site_fract_x
_atom_site_fract_y
_atom_site_fract_z
Al1 Al 0.075 0.045 0.318
Ga1 Ga 0.435 0.213 0.789
Cl1 Cl 0.136 0.628 0.939
Cl2 Cl 0.217 0.029 0.198
Cl3 Cl 0.238 0.217 0.446
Cl4 Cl 0.284 0.570 0.320

[2]
# AlGa2Cl | Alexandria | GGA-PBEsol | optimized geometry
# **Raw formation energy**: 0.0781 eV per atom
data_AlGa2Cl
_chemical_formula_sum 'Al4 Ga8 Cl4'
_cell_length_a 6.746
_cell_length_b 6.746
_cell_length_c 6.746
_cell_angle_alpha 90.00
_cell_angle_beta 90.00
_cell_angle_gamma 90.00
_space_group_name_H-M_alt 'F m -3 m'
_space_group_IT_number 225
_space_group_name_Hall '-F 4 2 3'
loop_
_atom_site_label
_atom_site_type_symbol
_atom_site_fract_x
_atom_site_fract_y
_atom_site_fract_z
Al1 Al 0.000 0.000 0.000
Ga1 Ga 0.250 0.250 0.250
Cl1 Cl 0.000 0.000 0.500

[3]
# Al3GaCl | Alexandria | GGA-PBEsol | optimized geometry
# **Raw formation energy**: 0.6835 eV per atom
data_Al3GaCl
_chemical_formula_sum 'Al3 Ga1 Cl1'
_cell_length_a 4.869
_cell_length_b 4.869
_cell_length_c 4.869
_cell_angle_alpha 90.00
_cell_angle_beta 90.00
_cell_angle_gamma 90.00
_space_group_name_H-M_alt 'P m -3 m'
_space_group_IT_number 221
_space_group_name_Hall '-P 4 2 3'
loop_
_atom_site_label
_atom_site_type_symbol
_atom_site_fract_x
_atom_site_fract_y
_atom_site_fract_z
Al1 Al 0.000 0.000 0.500
Ga1 Ga 0.500 0.500 0.500
Cl1 Cl 0.000 0.000 0.000

[4]
# Al2GaCl | Alexandria | GGA-PBEsol | optimized geometry
# **Raw formation energy**: 0.0206 eV per atom
data_Al2GaCl
_chemical_formula_sum 'Al8 Ga4 Cl4'
_cell_length_a 5.692
_cell_length_b 5.692
_cell_length_c 12.296
_cell_angle_alpha 90.00
_cell_angle_beta 90.00
_cell_angle_gamma 90.00
_space_group_name_H-M_alt 'I -4 2 d'
_space_group_IT_number 122
_space_group_name_Hall 'I -4 2bw'
loop_
_atom_site_label
_atom_site_type_symbol
_atom_site_fract_x
_atom_site_fract_y
_atom_site_fract_z
Al1 Al 0.213 0.250 0.125
Ga1 Ga 0.000 0.000 0.000
Cl1 Cl 0.000 0.000 0.500

- Among the records above, which one has the lowest raw formation energy?
  AlGaCl4